Tb4NdHo4 (PBE-GGA, optimized geometry); crystal system = tetragonal; space group = I4/mmm (139); total energy = -4.604 eV/atom; energy above the lowest structure with this stoichiometry = 0.0000 eV/atom; M_tot = 0.0 μB per formula unit; V = 286 Å³/f.u.; ΔE_f = 0.018 eV per atom
1.0
5.017 0.000 0.000
2.509 7.552 0.000
2.509 0.000 7.552
Ho Tb Nd
4 4 1
direct
0.333 0.335 0.000
0.667 0.665 0.000
0.667 0.000 0.665
0.333 0.000 0.335
0.000 0.334 0.666
0.000 0.666 0.334
0.666 0.334 0.334
0.334 0.666 0.666
0.000 0.000 0.000